Below is crystalline ScRu2 at its relaxed geometry, with properties calculated at the PBE level.

Calculated values
Crystal system   cubic
Calculated density   7.568 g cm⁻³
DFT formation energy   697.2 meV/atom
SG   No. 225

abc: 4.2483 4.2483 4.2483
angles: 60.00 60.00 60.00
Sites, in units of the cell vectors:
Sc  0.0000  0.0000  0.0000
Ru  0.2500  0.2500  0.2500
Ru  0.7500  0.7500  0.7500

***

Below is crystalline Zr4HgMo at its relaxed geometry, with properties calculated at the PBE level.

Calculated values
Crystal system   cubic
Calculated density   8.555 g cm⁻³
DFT formation energy   498.4 meV/atom
SG   No. 216

abc: 5.6625 5.6625 5.6625
angles: 60.00 60.00 60.00
Sites, in units of the cell vectors:
Zr  0.3769  0.3769  0.3769
Zr  0.3769  0.3769  0.8694
Zr  0.3769  0.8694  0.3769
Zr  0.8694  0.3769  0.3769
Hg  0.0000  0.0000  0.0000
Mo  0.7500  0.7500  0.7500

***

Total moment, respectively: 0.00 0.00 μB per atom.